[1]
Below is a geometry-optimized InTcIr structure, with properties calculated at the PBE-GGA level.

Unit cell a=5.1040 b=5.1040 c=5.1040 alpha=147.33 beta=135.86 gamma=55.98
Atoms (fractional coordinates):
In1 0.0000 0.0000 0.0000
Tc1 0.3167 0.3167 0.0000
Ir1 0.6803 0.6803 0.0000

Summary:
As for the magnetic moment: 0.00 μB/atom. As for the energy of formation: 0.193 eV/atom. Its distance to the lowest polymorph of the same formula is 192 meV per atom.

[2]
Below is a geometry-optimized InTc2Ir structure, with properties calculated at the PBE-GGA level.

Unit cell a=5.0431 b=5.0431 c=5.0431 alpha=134.98 beta=134.98 gamma=65.57
Atoms (fractional coordinates):
In1 0.0000 0.0000 0.0000
Tc1 0.2500 0.7500 0.5000
Tc2 0.7500 0.2500 0.5000
Ir1 0.5000 0.5000 0.0000

Summary:
As for the magnetic moment: 0.00 μB/atom. As for the energy of formation: 0.182 eV/atom.

[3]
Below is a geometry-optimized InTc4Ir structure, with properties calculated at the PBE-GGA level.

Unit cell a=5.1513 b=5.1513 c=5.1513 alpha=60.00 beta=60.00 gamma=60.00
Atoms (fractional coordinates):
In1 0.0000 0.0000 0.0000
Tc1 0.3755 0.3755 0.3755
Tc2 0.3755 0.3755 0.8736
Tc3 0.3755 0.8736 0.3755
Tc4 0.8736 0.3755 0.3755
Ir1 0.7500 0.7500 0.7500

Summary:
As for the magnetic moment: 0.00 μB/atom. As for the energy of formation: 0.423 eV/atom.